No. 1
DFT (GGA-PBE) results for crystalline KLi2Cl at its relaxed geometry.

Unit cell a=7.637 b=7.637 c=7.637 alpha=119.57 beta=119.57 gamma=90.75
Fractional coordinates of all 8 atoms:
1 K 0.000 0.000 0.000
2 K 0.750 0.250 0.500
3 Li 0.325 0.625 0.200
4 Li 0.375 0.575 0.700
5 Li 0.425 0.125 0.800
6 Li 0.875 0.675 0.300
7 Cl 0.250 0.750 0.500
8 Cl 0.500 0.500 0.000

Summary:
total moment	0.000	μB per formula unit
ΔE_f (raw)	-0.647	eV per atom
energy above the most stable polymorph in this dataset	128	meV per atom
VASP energy	-2.340	eV per atom
crystal system	tetragonal



No. 2
DFT (GGA-PBE) results for crystalline KLiCl2 at its relaxed geometry.

Unit cell a=7.272 b=7.272 c=7.272 alpha=32.06 beta=32.06 gamma=32.06
Fractional coordinates of all 4 atoms:
1 K 0.000 0.000 0.000
2 Li 0.500 0.500 0.500
3 Cl 0.235 0.235 0.235
4 Cl 0.765 0.765 0.765

Summary:
total moment	0.000	μB per formula unit
ΔE_f (raw)	-1.815	eV per atom
VASP energy	-3.491	eV per atom
crystal system	trigonal



No. 3
DFT (GGA-PBE) results for crystalline K3LiCl4 at its relaxed geometry.

Unit cell a=8.790 b=10.908 c=9.628 alpha=90.00 beta=90.00 gamma=90.00
Fractional coordinates of all 32 atoms:
1 K 0.048 0.041 0.218
2 K 0.048 0.459 0.218
3 K 0.115 0.750 0.437
4 K 0.385 0.250 0.937
5 K 0.452 0.541 0.718
6 K 0.452 0.959 0.718
7 K 0.548 0.041 0.282
8 K 0.548 0.459 0.282
9 K 0.615 0.750 0.063
10 K 0.885 0.250 0.563
11 K 0.952 0.541 0.782
12 K 0.952 0.959 0.782
13 Li 0.200 0.750 0.994
14 Li 0.300 0.250 0.494
15 Li 0.700 0.750 0.506
16 Li 0.800 0.250 0.006
17 Cl 0.028 0.250 0.878
18 Cl 0.184 0.058 0.534
19 Cl 0.184 0.442 0.534
20 Cl 0.187 0.750 0.746
21 Cl 0.313 0.250 0.246
22 Cl 0.316 0.558 0.034
23 Cl 0.316 0.942 0.034
24 Cl 0.472 0.750 0.378
25 Cl 0.528 0.250 0.622
26 Cl 0.684 0.058 0.966
27 Cl 0.684 0.442 0.966
28 Cl 0.687 0.750 0.754
29 Cl 0.813 0.250 0.254
30 Cl 0.816 0.558 0.466
31 Cl 0.816 0.942 0.466
32 Cl 0.972 0.750 0.122

Summary:
total moment	0.000	μB per formula unit
ΔE_f (raw)	-1.873	eV per atom
VASP energy	-3.447	eV per atom
crystal system	orthorhombic



No. 4
DFT (GGA-PBE) results for crystalline KLi2Cl at its relaxed geometry.

Unit cell a=3.819 b=3.819 c=9.697 alpha=101.16 beta=101.16 gamma=59.99
Fractional coordinates of all 4 atoms:
1 K 0.000 0.000 0.000
2 Li 0.220 0.220 0.663
3 Li 0.456 0.456 0.374
4 Cl 0.748 0.748 0.248

Summary:
total moment	0.000	μB per formula unit
ΔE_f (raw)	-0.752	eV per atom
energy above the most stable polymorph in this dataset	24	meV per atom
VASP energy	-2.445	eV per atom
crystal system	monoclinic



No. 5
DFT (GGA-PBE) results for crystalline KLi2Cl at its relaxed geometry.

Unit cell a=5.609 b=5.609 c=5.609 alpha=60.00 beta=60.00 gamma=60.00
Fractional coordinates of all 4 atoms:
1 K 0.000 0.000 0.000
2 Li 0.250 0.250 0.250
3 Li 0.750 0.750 0.750
4 Cl 0.500 0.500 0.500

Summary:
total moment	0.000	μB per formula unit
ΔE_f (raw)	-0.258	eV per atom
energy above the most stable polymorph in this dataset	517	meV per atom
VASP energy	-1.951	eV per atom
crystal system	cubic



No. 6
DFT (GGA-PBE) results for crystalline KLi2Cl at its relaxed geometry.

Unit cell a=3.690 b=3.690 c=7.960 alpha=90.00 beta=90.00 gamma=100.68
Fractional coordinates of all 4 atoms:
1 K 0.000 0.000 0.000
2 Li 0.000 0.000 0.439
3 Li 0.500 0.500 0.655
4 Cl 0.500 0.500 0.305

Summary:
total moment	0.000	μB per formula unit
ΔE_f (raw)	-0.710	eV per atom
energy above the most stable polymorph in this dataset	66	meV per atom
VASP energy	-2.403	eV per atom
crystal system	orthorhombic